No. 1
This record from Alexandria via LeMat-Bulk describes ScTc6B4 after structural relaxation. The functional is PBE.

Output
* SG: No. 121

Unit cell a=5.718 b=5.718 c=5.718 alpha=121.23 beta=121.23 gamma=87.87
Fractional coordinates of all 11 atoms:
Sc  0.000  0.000  0.000
Tc  0.000  0.500  0.500
Tc  0.083  0.083  0.618
Tc  0.466  0.466  0.382
Tc  0.500  0.000  0.500
Tc  0.534  0.917  0.000
Tc  0.917  0.534  0.000
B  0.298  0.581  0.000
B  0.419  0.419  0.718
B  0.581  0.298  0.000
B  0.702  0.702  0.282

No. 2
This record from Alexandria via LeMat-Bulk describes ScTcB3 after structural relaxation. The functional is PBE.

Output
* SG: No. 63

Unit cell a=9.547 b=9.547 c=3.046 alpha=90.00 beta=90.00 gamma=159.14
Fractional coordinates of all 10 atoms:
Sc  0.073  0.927  0.750
Sc  0.927  0.073  0.250
Tc  0.205  0.795  0.250
Tc  0.795  0.205  0.750
B  0.328  0.672  0.250
B  0.378  0.622  0.750
B  0.476  0.524  0.750
B  0.524  0.476  0.250
B  0.622  0.378  0.250
B  0.672  0.328  0.750

No. 3
This record from Alexandria via LeMat-Bulk describes ScTcB3 after structural relaxation. The functional is PBE.

Output
* SG: No. 221

Unit cell a=4.044 b=4.044 c=4.044 alpha=90.00 beta=90.00 gamma=90.00
Fractional coordinates of all 5 atoms:
Sc  0.000  0.000  0.000
Tc  0.500  0.500  0.500
B  0.000  0.000  0.500
B  0.000  0.500  0.000
B  0.500  0.000  0.000

No. 4
This record from Alexandria via LeMat-Bulk describes ScTc4B2 after structural relaxation. The functional is PBE.

Output
* SG: No. 65

Unit cell a=6.971 b=6.971 c=3.686 alpha=90.00 beta=90.00 gamma=148.89
Fractional coordinates of all 7 atoms:
Sc  0.000  0.000  0.000
Tc  0.171  0.829  0.500
Tc  0.323  0.677  0.000
Tc  0.677  0.323  0.000
Tc  0.829  0.171  0.500
B  0.433  0.567  0.500
B  0.567  0.433  0.500

It is found that the total DFT energy (no corrections) values, taken in the order of the records, are -0.655 -0.587 -0.383 -0.653 Ry/atom.
It is found that the total magnetic moment values, taken in the order of the records, are 0.0 0.5 2.1 0.0 μB/f.u..